# 1
# K2TiAlSe4

A relaxed structure of K2TiAlSe4 (PBE, Alexandria).

Geometry as extended XYZ:
```
16
Lattice="7.290 0.000 0.000 0.000 7.290 0.000 0.000 0.000 9.383" Properties=species:S:1:pos:R:3 pbc="T T T"
K 0.000 0.000 0.000
K 0.000 3.645 2.346
K 3.645 0.000 7.038
K 3.645 3.645 4.692
Ti 0.000 3.645 7.038
Ti 3.645 0.000 2.346
Al 0.000 0.000 4.692
Al 3.645 3.645 0.000
Se 1.142 1.785 5.868
Se 1.785 6.148 3.516
Se 1.860 4.787 8.208
Se 2.503 1.860 1.176
Se 4.787 5.430 1.176
Se 5.430 2.503 8.208
Se 5.505 1.142 3.516
Se 6.148 5.505 5.868
```

Calculated values
Its energy relative to the elements, uncorrected is -1075 meV/atom.



# 2
# LiGaRe2S

A relaxed structure of LiGaRe2S (PBE, Alexandria).

Geometry as extended XYZ:
```
5
Lattice="4.343 0.000 0.000 0.000 4.343 0.000 0.000 0.000 3.874" Properties=species:S:1:pos:R:3 pbc="T T T"
Li 0.000 0.000 0.000
Ga 0.000 0.000 1.937
Re 0.000 2.172 0.000
Re 2.172 0.000 0.000
S 2.172 2.172 1.937
```

Calculated values
Its energy relative to the elements, uncorrected is 1524 meV/atom.



# 3
# MnGa5Ru6

A relaxed structure of MnGa5Ru6 (PBE, Alexandria).

Geometry as extended XYZ:
```
12
Lattice="2.135 -6.404 0.000 2.135 6.404 0.000 0.000 0.000 6.045" Properties=species:S:1:pos:R:3 pbc="T T T"
Mn 0.000 0.000 0.000
Ga 0.000 0.000 3.023
Ga 2.135 2.121 3.023
Ga 2.135 2.095 0.000
Ga 2.135 -2.095 0.000
Ga 2.135 -2.121 3.023
Ru 2.135 4.273 1.507
Ru 2.135 4.273 4.538
Ru 2.135 0.000 1.510
Ru 2.135 0.000 4.536
Ru 2.135 -4.273 1.507
Ru 2.135 -4.273 4.538
```

Calculated values
The formation enthalpy at 0 K comes out at -0.289 eV per atom.



# 4
# AcEuCuBi

A relaxed structure of AcEuCuBi (PBE, Alexandria).

Geometry as extended XYZ:
```
16
Lattice="7.922 0.000 0.000 0.000 7.922 0.000 0.000 0.000 7.922" Properties=species:S:1:pos:R:3 pbc="T T T"
Ac 0.000 0.000 0.000
Ac 0.000 3.961 3.961
Ac 3.961 0.000 3.961
Ac 3.961 3.961 0.000
Eu 0.000 0.000 3.961
Eu 0.000 3.961 0.000
Eu 3.961 0.000 0.000
Eu 3.961 3.961 3.961
Cu 1.980 1.980 5.941
Cu 1.980 5.941 1.980
Cu 5.941 1.980 1.980
Cu 5.941 5.941 5.941
Bi 1.980 1.980 1.980
Bi 1.980 5.941 5.941
Bi 5.941 1.980 5.941
Bi 5.941 5.941 1.980
```

Calculated values
The formation enthalpy at 0 K comes out at -0.401 eV per atom.



# 5
# VIN3

A relaxed structure of VIN3 (PBE, Alexandria).

Geometry as extended XYZ:
```
5
Lattice="3.936 0.000 0.000 0.000 3.936 0.000 0.000 0.000 3.936" Properties=species:S:1:pos:R:3 pbc="T T T"
V 0.000 0.000 0.000
I 1.968 1.968 1.968
N 0.000 0.000 1.968
N 0.000 1.968 0.000
N 1.968 0.000 0.000
```

Calculated values
Its energy relative to the elements, uncorrected is 1085 meV/atom.



# 6
# La2TbNi

A relaxed structure of La2TbNi (PBE, Alexandria).

Geometry as extended XYZ:
```
12
Lattice="3.885 0.000 0.000 -1.942 3.364 0.000 0.000 0.000 28.075" Properties=species:S:1:pos:R:3 pbc="T T T"
La 0.000 0.000 0.000
La 0.000 0.000 5.891
La 0.000 2.243 18.717
La 0.000 2.243 24.608
La 1.942 1.121 9.358
La 1.942 1.121 15.250
Tb 0.000 0.000 21.681
Tb 0.000 2.243 12.323
Tb 1.942 1.121 2.964
Ni 0.000 0.000 16.991
Ni 0.000 2.243 7.633
Ni 1.942 1.121 26.350
```

Calculated values
For the energy above the most stable polymorph in this dataset, the calculation gives 132.0 meV/atom. The formation enthalpy at 0 K comes out at -0.057 eV per atom.



# 7
# Li3NiH6

A relaxed structure of Li3NiH6 (PBE, Alexandria).

Geometry as extended XYZ:
```
20
Lattice="3.859 2.228 3.019 -3.859 2.228 3.019 0.000 -4.456 3.019" Properties=species:S:1:pos:R:3 pbc="T T T"
Li -1.969 -1.917 4.231
Li -2.645 0.747 4.826
Li 0.675 -2.664 4.826
Li -0.675 2.664 4.231
Li 2.645 -0.747 4.231
Li 1.969 1.917 4.826
Ni 0.000 0.000 0.000
Ni 0.000 0.000 4.528
H -3.433 -1.005 5.138
H -0.846 -3.476 3.918
H -1.280 -0.236 3.648
H -2.587 2.470 3.918
H 0.845 -0.991 3.648
H -0.436 -1.227 5.409
H 0.436 1.227 3.648
H -0.845 0.991 5.409
H 2.587 -2.470 5.138
H 1.280 0.236 5.409
H 0.846 3.476 5.138
H 3.433 1.005 3.918
```

Calculated values
For the energy above the most stable polymorph in this dataset, the calculation gives 4.9 meV/atom.



# 8
# Sm3Tm2Pb4

A relaxed structure of Sm3Tm2Pb4 (PBE, Alexandria).

Geometry as extended XYZ:
```
9
Lattice="6.687 -2.495 0.000 6.687 2.495 0.000 -5.811 0.000 8.248" Properties=species:S:1:pos:R:3 pbc="T T T"
Sm 0.000 0.000 0.000
Sm 2.956 0.000 2.452
Sm 4.609 0.000 5.796
Tm 0.795 0.000 5.560
Tm 6.769 0.000 2.689
Pb -1.506 0.000 3.344
Pb -1.162 0.000 7.966
Pb 8.726 0.000 0.282
Pb 9.070 0.000 4.905
```

Calculated values
For the energy above the most stable polymorph in this dataset, the calculation gives 20.0 meV/atom. The formation enthalpy at 0 K comes out at -0.424 eV per atom.



# 9
# NaSrMnCl6

A relaxed structure of NaSrMnCl6 (PBE, Alexandria).

Geometry as extended XYZ:
```
18
Lattice="6.543 0.000 0.000 0.000 6.543 0.000 0.000 0.000 11.930" Properties=species:S:1:pos:R:3 pbc="T T T"
Na 0.000 0.000 0.000
Na 3.271 3.271 5.965
Sr 0.000 0.000 8.075
Sr 3.271 3.271 2.111
Mn 0.000 0.000 4.002
Mn 3.271 3.271 9.967
Cl 1.135 1.135 2.313
Cl 1.156 1.156 5.634
Cl 1.416 1.416 10.041
Cl 1.855 4.688 4.077
Cl 2.115 4.428 11.599
Cl 2.136 4.407 8.278
Cl 4.407 2.136 8.278
Cl 4.428 2.115 11.599
Cl 4.688 1.855 4.077
Cl 5.127 5.127 10.041
Cl 5.387 5.387 5.634
Cl 5.408 5.408 2.313
```

Calculated values
Its energy relative to the elements, uncorrected is -1604 meV/atom.



# 10
# BiPdAu

A relaxed structure of BiPdAu (PBE, Alexandria).

Geometry as extended XYZ:
```
12
Lattice="4.419 0.000 0.000 0.000 9.945 0.000 0.000 0.000 5.691" Properties=species:S:1:pos:R:3 pbc="T T T"
Bi 0.000 2.010 1.423
Bi 0.000 7.935 4.268
Bi 2.210 2.963 4.268
Bi 2.210 6.982 1.423
Pd 0.000 1.082 4.268
Pd 0.000 8.864 1.423
Pd 2.210 3.891 1.423
Pd 2.210 6.054 4.268
Au 0.000 4.973 0.000
Au 0.000 4.973 2.845
Au 2.210 0.000 0.000
Au 2.210 0.000 2.845
```

Calculated values
For the energy above the most stable polymorph in this dataset, the calculation gives 0.0 meV/atom. The formation enthalpy at 0 K comes out at -0.182 eV per atom.



# 11
# ZnGaPdAu

A relaxed structure of ZnGaPdAu (PBE, Alexandria).

Geometry as extended XYZ:
```
8
Lattice="2.900 0.000 0.000 0.000 2.900 0.000 0.000 0.000 16.019" Properties=species:S:1:pos:R:3 pbc="T T T"
Zn 0.000 0.000 0.000
Zn 1.450 1.450 8.009
Ga 0.000 0.000 12.527
Ga 1.450 1.450 4.518
Pd 0.000 0.000 6.250
Pd 1.450 1.450 14.260
Au 0.000 0.000 2.583
Au 1.450 1.450 10.592
```

Calculated values
For the energy above the most stable polymorph in this dataset, the calculation gives 100.7 meV/atom. The formation enthalpy at 0 K comes out at -0.247 eV per atom.



# 12
# KSeIO2

A relaxed structure of KSeIO2 (PBE, Alexandria).

Geometry as extended XYZ:
```
5
Lattice="4.253 0.000 0.000 0.000 4.253 0.000 0.000 0.000 5.840" Properties=species:S:1:pos:R:3 pbc="T T T"
K 0.000 0.000 0.000
Se 2.126 2.126 2.920
I 2.126 2.126 0.000
O 0.000 2.126 2.920
O 2.126 0.000 2.920
```

Calculated values
For the energy above the most stable polymorph in this dataset, the calculation gives 0.0 meV/atom. Its energy relative to the elements, uncorrected is -286 meV/atom.



VASP energy (computed, eV/atom): -4.55; -5.27; -6.95; -5.99; -6.04; -5.12; -3.41; -4.64; -4.19; -4.30; -3.44; -3.50